[1]
! USn2Pd9 (GGA-PBE, relaxed); values from VASP
&SYSTEM
  ibrav = 0, nat = 12, ntyp = 3
/
ATOMIC_SPECIES
U 238.03 U.upf
Sn 118.71 Sn.upf
Pd 106.42 Pd.upf
ATOMIC_POSITIONS angstrom
U 0.000 0.000 0.000
Sn 0.000 0.000 4.131
Sn 0.000 0.000 8.076
Pd 0.000 2.038 2.046
Pd 0.000 2.038 6.104
Pd 0.000 2.038 10.161
Pd 2.038 0.000 2.046
Pd 2.038 0.000 6.104
Pd 2.038 0.000 10.161
Pd 2.038 2.038 0.000
Pd 2.038 2.038 4.084
Pd 2.038 2.038 8.123
CELL_PARAMETERS angstrom
4.076 0.000 0.000
0.000 4.076 0.000
0.000 0.000 12.207
! Formation energy from the elements (eV/atom): -0.5168
! Calculated volume (Å³ per cell): 202.8
! Total energy (eV for the cell shown): -72.23
! Total magnetization (Bohr magnetons per cell): 1.58

=====

[2]
! La2Sm4Ga3O2 (GGA-PBE, relaxed); values from VASP
&SYSTEM
  ibrav = 0, nat = 11, ntyp = 4
/
ATOMIC_SPECIES
La 138.91 La.upf
Sm 150.36 Sm.upf
Ga 69.72 Ga.upf
O 16.00 O.upf
ATOMIC_POSITIONS angstrom
La 0.000 0.000 4.804
La 0.000 0.000 19.141
Sm 2.406 0.000 1.948
Sm 2.406 0.000 10.024
Sm 0.000 2.406 1.948
Sm 0.000 2.406 10.024
Ga 0.000 0.000 7.970
Ga 0.000 0.000 11.972
Ga 0.000 0.000 15.975
O 0.000 0.000 2.391
O 0.000 0.000 21.553
CELL_PARAMETERS angstrom
-2.406 2.406 11.972
2.406 -2.406 11.972
2.406 2.406 -11.972
! Energy relative to the elements, uncorrected (eV per formula unit): -14.7
! Calculated volume (Å³ per cell): 277.2
! Total energy (eV for the cell shown): -62.47
! Total magnetization (Bohr magnetons per cell): 0.00

=====

[3]
! NiRh2Cl (GGA-PBE, relaxed); values from VASP
&SYSTEM
  ibrav = 0, nat = 4, ntyp = 3
/
ATOMIC_SPECIES
Ni 58.69 Ni.upf
Rh 102.91 Rh.upf
Cl 35.45 Cl.upf
ATOMIC_POSITIONS angstrom
Ni 0.000 0.000 0.000
Rh 1.389 0.000 2.210
Rh 0.000 2.375 2.142
Cl 0.000 0.000 4.352
CELL_PARAMETERS angstrom
-1.389 2.375 4.352
1.389 -2.375 4.352
1.389 2.375 -4.352
! Energy relative to the elements, uncorrected (eV per formula unit): 2.1
! Calculated volume (Å³ per cell): 57.4
! Total energy (eV for the cell shown): -20.24
! Energy above the lowest structure with this stoichiometry (kJ per mole of atoms): 29.0
! Total magnetization (Bohr magnetons per cell): 0.89

=====

[4]
! Nd2GaSn (GGA-PBE, relaxed); values from VASP
&SYSTEM
  ibrav = 0, nat = 4, ntyp = 3
/
ATOMIC_SPECIES
Nd 144.24 Nd.upf
Ga 69.72 Ga.upf
Sn 118.71 Sn.upf
ATOMIC_POSITIONS angstrom
Nd 0.000 2.509 0.000
Nd 2.509 0.000 0.000
Ga 0.000 0.000 2.158
Sn 2.509 2.509 2.158
CELL_PARAMETERS angstrom
5.019 0.000 0.000
0.000 5.019 0.000
0.000 0.000 4.317
! Formation energy from the elements (eV/atom): -0.6005
! Calculated volume (Å³ per cell): 108.7
! Total energy (eV for the cell shown): -18.97
! Total magnetization (Bohr magnetons per cell): 0.00

=====

[5]
! LaDyZnSi (GGA-PBE, relaxed); values from VASP
&SYSTEM
  ibrav = 0, nat = 4, ntyp = 4
/
ATOMIC_SPECIES
La 138.91 La.upf
Dy 162.50 Dy.upf
Zn 65.41 Zn.upf
Si 28.09 Si.upf
ATOMIC_POSITIONS angstrom
La 0.000 0.000 0.000
Dy 3.619 3.619 3.619
Zn 5.429 5.429 5.429
Si 1.810 1.810 1.810
CELL_PARAMETERS angstrom
0.000 3.619 3.619
3.619 0.000 3.619
3.619 3.619 0.000
! Energy relative to the elements, uncorrected (eV per formula unit): -1.8
! Calculated volume (Å³ per cell): 94.8
! Total energy (eV for the cell shown): -18.04
! Total magnetization (Bohr magnetons per cell): 0.00

=====

[6]
! BeInP2 (GGA-PBE, relaxed); values from VASP
&SYSTEM
  ibrav = 0, nat = 4, ntyp = 3
/
ATOMIC_SPECIES
Be 9.01 Be.upf
In 114.82 In.upf
P 30.97 P.upf
ATOMIC_POSITIONS angstrom
Be 0.000 0.000 0.000
In 1.608 0.000 2.147
P 0.000 0.000 4.578
P 0.000 2.864 2.344
CELL_PARAMETERS angstrom
-1.608 2.864 3.850
1.608 -2.864 3.850
1.608 2.864 -3.850
! Formation energy from the elements (eV/atom): 0.4755
! Calculated volume (Å³ per cell): 70.9
! Total energy (eV for the cell shown): -15.38
! Total magnetization (Bohr magnetons per cell): 0.00

=====

- Which of these has the highest total magnetization?
  USn2Pd9